Record 1
Entry from the Alexandria database: a relaxed LuPu2Rh crystal (GGA-PBE).

Properties
final energy: -10.01 eV per atom
SG: R-3m, No. 166

Cell lengths 3.424, 3.424, 10.386 Å; angles 80.51, 80.51, 60.00 degrees
Site moments in Bohr magnetons follow the coordinates.
Fractional positions:
Lu (0.000, 0.000, 0.000)  -0.01
Rh (0.500, 0.500, 0.500)  0.28
Pu (0.102, 0.102, 0.695)  -5.43
Pu (0.898, 0.898, 0.305)  -5.43


Record 2
Entry from the Alexandria database: a relaxed Lu2PuRh crystal (GGA-PBE).

Properties
SG: P4/mmm, No. 123
ΔE to the lowest computed polymorph: 0 meV/atom

Cell lengths 3.345, 3.345, 8.550 Å; angles 90.00, 90.00, 90.00 degrees
Site moments in Bohr magnetons follow the coordinates.
Fractional positions:
Lu (0.000, 0.000, 0.806)  -0.14
Lu (0.000, 0.000, 0.194)  -0.14
Rh (0.500, 0.500, 0.000)  0.03
Pu (0.500, 0.500, 0.500)  -5.61


Record 3
Entry from the Alexandria database: a relaxed LuPuRuRh crystal (GGA-PBE).

Properties
final energy: -9.38 eV per atom
SG: F-43m, No. 216

Cell lengths 4.767, 4.767, 4.767 Å; angles 60.00, 60.00, 60.00 degrees
Site moments in Bohr magnetons follow the coordinates.
Fractional positions:
Ru (0.750, 0.750, 0.750)  -0.35
Lu (0.500, 0.500, 0.500)  0.06
Rh (0.250, 0.250, 0.250)  -0.16
Pu (0.000, 0.000, 0.000)  4.88


Record 4
Entry from the Alexandria database: a relaxed LuPuSnRh crystal (GGA-PBE).

Properties
final energy: -7.97 eV per atom
SG: F-43m, No. 216

Cell lengths 5.065, 5.065, 5.065 Å; angles 60.00, 60.00, 60.00 degrees
Site moments in Bohr magnetons follow the coordinates.
Fractional positions:
Lu (0.000, 0.000, 0.000)  0.03
Rh (0.750, 0.750, 0.750)  -0.37
Sn (0.250, 0.250, 0.250)  -0.10
Pu (0.500, 0.500, 0.500)  5.22


Record 5
Entry from the Alexandria database: a relaxed LuPuTlRh crystal (GGA-PBE).

Properties
final energy: -7.39 eV per atom
SG: F-43m, No. 216

Cell lengths 5.086, 5.086, 5.086 Å; angles 60.00, 60.00, 60.00 degrees
Site moments in Bohr magnetons follow the coordinates.
Fractional positions:
Tl (0.750, 0.750, 0.750)  0.00
Lu (0.500, 0.500, 0.500)  0.05
Rh (0.250, 0.250, 0.250)  -0.21
Pu (0.000, 0.000, 0.000)  5.25


Record 6
Entry from the Alexandria database: a relaxed LuPuRu2 crystal (GGA-PBE).

Properties
SG: P4/mmm, No. 123
ΔE to the lowest computed polymorph: 17 meV/atom

Cell lengths 3.344, 3.344, 6.761 Å; angles 90.00, 90.00, 90.00 degrees
Site moments in Bohr magnetons follow the coordinates.
Fractional positions:
Ru (0.000, 0.000, 0.740)  -0.45
Ru (0.000, 0.000, 0.260)  -0.45
Lu (0.500, 0.500, 0.000)  0.08
Pu (0.500, 0.500, 0.500)  4.70


Values of magnetization, in order: 11.2 6.4 4.6 5.0 5.3 4.0, all in μB per cell.
Values of DOS(E_F), in order: 3.944 2.017 1.533 2.156 2.262 1.608, all in states/eV/atom.